## LiCoPb2O6 (GGA+U)

Data for a relaxed structure of LiCoPb2O6.

Cell and atoms, written as CIF:
```
data_LiCoPb2O6
_cell_length_a 4.8222
_cell_length_b 5.2136
_cell_length_c 5.2136
_cell_angle_alpha 90.00
_cell_angle_beta 90.00
_cell_angle_gamma 90.00
_symmetry_space_group_name_H-M 'P 1'
_symmetry_Int_Tables_number 1
loop_
_symmetry_equiv_pos_as_xyz
'x,y,z'
loop_
_atom_site_label
_atom_site_fract_x
_atom_site_fract_y
_atom_site_fract_z
O1 0.2349 0.0000 0.0000
Li1 0.5667 0.5000 0.5000
O2 0.1619 0.5000 0.5000
O3 0.7188 0.7631 0.7631
Co1 0.6060 0.0000 0.0000
Pb1 0.0009 0.5000 0.0000
O4 0.7188 0.2369 0.7631
O5 0.7188 0.2369 0.2369
Pb2 0.0009 0.0000 0.5000
O6 0.7188 0.7631 0.2369
```

Properties
VASP energy ... -5.2205 eV per atom
Crystal system ... tetragonal
Space group ... No. 99